# PBE with a Hubbard U TaFe3F, relaxed
# E above lowest polymorph ... 1167 meV per atom
data_TaFe3F
_chemical_formula_sum 'Ta1 Fe3 F1'
_space_group_name_H-M_alt 'P m -3 m'
_space_group_IT_number 221
_space_group_name_Hall '-P 4 2 3'
_cell_length_a 4.954
_cell_length_b 4.954
_cell_length_c 4.954
_cell_angle_alpha 90.00
_cell_angle_beta 90.00
_cell_angle_gamma 90.00
loop_
_atom_site_label
_atom_site_type_symbol
_atom_site_fract_x
_atom_site_fract_y
_atom_site_fract_z
Ta1 Ta 0.000 0.000 0.000
Fe1 Fe 0.000 0.000 0.500
F1 F 0.500 0.500 0.500